# 1
4
Lattice="0.000 3.572 3.572 3.572 0.000 3.572 3.572 3.572 0.000" Properties=species:S:1:pos:R:3 comment="PBE Cd2InSi, optimized geometry" e_form_raw_ev_per_atom=0.32 crystal_system=cubic de_polymorph_ev_per_atom=0.074 sg="No. 225" pbc="T T T"
Cd 5.357 5.357 5.357
Cd 1.786 1.786 1.786
In 3.572 3.572 3.572
Si 0.000 0.000 0.000

***

# 2
5
Lattice="-1.862 1.862 7.002 1.862 -1.862 7.002 1.862 1.862 -7.002" Properties=species:S:1:pos:R:3 comment="PBE Ag4Ru, optimized geometry" formation_enthalpy_0k_kcal_per_mol_atoms=17.52 crystal_system=tetragonal de_polymorph_ev_per_atom=0.337 sg="No. 139" pbc="T T T"
Ag 1.862 0.000 3.501
Ag 0.000 1.862 3.501
Ag 0.000 0.000 8.334
Ag 0.000 0.000 5.670
Ru 0.000 0.000 0.000

***

# 3
5
Lattice="-4.760 1.115 -2.697 -1.448 -5.382 0.330 -2.534 0.981 4.877" Properties=species:S:1:pos:R:3 comment="PBE Sn3HgTe, optimized geometry" e_form_raw_ev_per_atom=0.46 crystal_system=cubic de_polymorph_ev_per_atom=0.000 sg="No. 221" pbc="T T T"
Sn -1.267 0.490 2.439
Te -4.370 -1.643 1.255
Sn -2.380 0.557 -1.348
Sn -0.724 -2.691 0.165
Hg 0.000 0.000 0.000

***

# 4
5
Lattice="4.205 0.000 0.000 0.000 4.205 0.000 0.000 0.000 4.205" Properties=species:S:1:pos:R:3 comment="PBE Pt3WC, optimized geometry" formation_enthalpy_0k_kcal_per_mol_atoms=19.69 crystal_system=cubic de_polymorph_ev_per_atom=0.000 sg="No. 221" pbc="T T T"
Pt 2.102 0.000 0.000
Pt 0.000 0.000 2.102
Pt 0.000 2.102 0.000
W 2.102 2.102 2.102
C 0.000 0.000 0.000

***

# 5
4
Lattice="5.293 0.000 0.000 2.646 4.583 0.000 2.646 1.528 4.321" Properties=species:S:1:pos:R:3 comment="PBE PrGdMgGa, optimized geometry" formation_enthalpy_0k_kcal_per_mol_atoms=-7.73 crystal_system=cubic sg="No. 216" pbc="T T T"
Ga 5.293 3.056 2.161
Gd 7.939 4.583 3.241
Mg 0.000 0.000 0.000
Pr 2.646 1.528 1.080

***

# 6
4
Lattice="3.812 0.000 0.000 -1.906 3.301 0.000 0.000 0.000 7.468" Properties=species:S:1:pos:R:3 comment="PBE CdSe3, optimized geometry" e_form_raw_ev_per_atom=0.15 crystal_system=hexagonal sg="No. 187" pbc="T T T"
Se 1.906 1.100 1.834
Se 0.000 0.000 3.734
Se 1.906 1.100 5.634
Cd 0.000 0.000 0.000

***

# 7
6
Lattice="3.944 0.000 0.000 -1.972 3.415 0.000 0.000 0.000 7.918" Properties=species:S:1:pos:R:3 comment="PBE CeSmNi2P2, optimized geometry" formation_enthalpy_0k_kcal_per_mol_atoms=-27.32 crystal_system=trigonal sg="No. 164" pbc="T T T"
Ni 1.972 1.138 2.076
P 0.000 2.277 1.952
P 1.972 1.138 5.966
Ni 0.000 2.277 5.842
Sm 0.000 0.000 0.000
Ce 0.000 0.000 3.959

***

# 8
6
Lattice="-0.480 2.612 -1.012 -2.790 -0.357 0.404 1.018 4.424 10.938" Properties=species:S:1:pos:R:3 comment="PBE TlTc5, optimized geometry" formation_enthalpy_0k_kcal_per_mol_atoms=7.00 crystal_system=tetragonal de_polymorph_ev_per_atom=0.000 sg="No. 123" pbc="T T T"
Tl -1.126 3.339 5.165
Tc 0.312 1.355 3.351
Tc 0.000 0.000 0.000
Tc -0.783 4.831 8.854
Tc -1.470 1.848 1.476
Tc 0.706 3.068 7.587